DFT (PBE) results for an optimized crystal structure of Sm6Dy2Y3Sc.

## Properties
energy of formation	0.02	eV per atom
Fermi-level density of states	15.10	states/eV/f.u.
final energy	-5.25	eV/atom
V	384.6	Å³ per cell

a b c (Å): 6.195 6.195 11.752
angles (deg): 95.02 95.02 119.98
Fractional positions:
Sm 0.082 0.412 0.246
Sm 0.249 0.249 0.753
Sm 0.412 0.082 0.246
Sm 0.588 0.918 0.754
Sm 0.751 0.751 0.247
Sm 0.918 0.588 0.754
Dy 0.333 0.667 0.000
Dy 0.667 0.333 0.000
Y 0.166 0.834 0.500
Y 0.500 0.500 0.500
Y 0.834 0.166 0.500
Sc 0.000 0.000 0.000